(1)
Material: MnZnCu2
Method: DFT, SCAN
State: PBEsol geometry

- Formation energy from the elements: -121 meV per atom
- Volume: 49 Å³/cell
- Density of states at the Fermi level: 1.6 states/eV/cell
- Total magnetic moment: 0.98 μB/atom

Lattice parameters (Å, degrees): 4.3787 4.3787 4.3787 129.42 129.42 74.34
Last column: nearest neighbours and their distance in Å.
Sites, in units of the cell vectors:
1 Mn 0.0000 0.0000 0.0000  8 Cu 2.56-2.65, 4 Zn 2.56
2 Zn 0.2500 0.7500 0.5000  8 Cu 2.56-2.65, 4 Mn 2.56
3 Cu 0.5000 0.5000 0.0000  4 Cu 2.56, 4 Zn 2.56, 4 Mn 2.65
4 Cu 0.7500 0.2500 0.5000  4 Cu 2.56, 4 Mn 2.56, 4 Zn 2.65

(2)
Material: CoAs2BrN
Method: DFT, SCAN
State: PBEsol geometry

- Volume: 99 Å³/cell
- Density of states at the Fermi level: 2.0 states/eV/cell
- Total magnetic moment: 0.60 μB/atom
- Energy relative to the elements, uncorrected: 1.243 eV/atom

Lattice parameters (Å, degrees): 4.4001 4.4001 5.0972 90.00 90.00 90.00
Last column: nearest neighbours and their distance in Å.
Sites, in units of the cell vectors:
1 Co 0.0000 0.0000 0.0000  4 As 2.20
2 As 0.0000 0.5000 0.0000  2 Co 2.20
3 As 0.5000 0.0000 0.0000  2 Co 2.20
4 Br 0.0000 0.0000 0.5000  2 Co 2.55
5 N 0.5000 0.5000 0.5000  4 Br 3.11, 8 As 3.37

(3)
Material: CuHgPb2
Method: DFT, SCAN
State: PBEsol geometry

- Formation energy from the elements: 315 meV per atom
- Volume: 94 Å³/cell
- Density of states at the Fermi level: 1.8 states/eV/cell
- Total magnetic moment: 0.00 μB/atom

Lattice parameters (Å, degrees): 5.8631 5.8631 5.8631 136.71 136.71 62.88
Last column: nearest neighbours and their distance in Å.
Sites, in units of the cell vectors:
1 Cu 0.0000 0.0000 0.0000  8 Pb 3.06-3.31, 4 Hg 3.31
2 Hg 0.7500 0.2500 0.5000  8 Pb 3.06-3.31, 4 Cu 3.31
3 Pb 0.2500 0.7500 0.5000  4 Hg 3.06, 4 Pb 3.31, 4 Cu 3.31
4 Pb 0.5000 0.5000 0.0000  4 Cu 3.06, 4 Hg 3.31, 4 Pb 3.31

(4)
Material: MoPt3
Method: DFT, SCAN
State: PBEsol geometry

- Formation energy from the elements: -300 meV per atom
- Volume: 60 Å³/cell
- Density of states at the Fermi level: 2.4 states/eV/cell
- Total magnetic moment: 0.00 μB/atom

Lattice parameters (Å, degrees): 2.7495 3.9391 5.4992 90.00 90.00 90.00
Last column: nearest neighbours and their distance in Å.
Sites, in units of the cell vectors:
1 Mo 0.0000 0.0000 0.0000  10 Pt 2.75, 2 Mo 2.75
2 Pt 0.0000 0.0000 0.5000  10 Pt 2.75-2.79, 2 Mo 2.75
3 Pt 0.5000 0.5000 0.2417  8 Pt 2.66-2.84, 4 Mo 2.75
4 Pt 0.5000 0.5000 0.7583  8 Pt 2.66-2.84, 4 Mo 2.75

(5)
Material: SmBS3
Method: DFT, SCAN
State: PBEsol geometry

- Volume: 380 Å³/cell
- Density of states at the Fermi level: 0.0 states/eV/cell
- Total magnetic moment: 0.00 μB/atom
- Energy relative to the elements, uncorrected: -1.454 eV/atom

Lattice parameters (Å, degrees): 7.3501 5.9086 8.7442 90.00 90.00 90.00
Last column: nearest neighbours and their distance in Å.
Sites, in units of the cell vectors:
1 Sm 0.1161 0.0678 0.0000  8 S 2.82-2.97, 1 B 3.14
2 Sm 0.3839 0.5678 0.5000  8 S 2.82-2.97, 1 B 3.14
3 Sm 0.6161 0.4322 0.0000  8 S 2.82-2.97, 1 B 3.14
4 Sm 0.8839 0.9322 0.5000  8 S 2.82-2.97, 1 B 3.14
5 B 0.1452 0.6003 0.8300  3 S 1.80-1.82
6 B 0.3548 0.1003 0.3300  3 S 1.80-1.82
7 B 0.6452 0.8997 0.8300  3 S 1.80-1.82
8 B 0.8548 0.3997 0.3300  3 S 1.80-1.82
9 S 0.0049 0.3954 0.4929  1 B 1.80
10 S 0.1758 0.8411 0.7031  1 B 1.82
11 S 0.2009 0.8635 0.2990  1 B 1.82
12 S 0.2991 0.3635 0.7990  1 B 1.82
13 S 0.3242 0.3411 0.2031  1 B 1.82
14 S 0.4951 0.8954 0.9929  1 B 1.80
15 S 0.5049 0.1046 0.4929  1 B 1.80
16 S 0.6758 0.6589 0.7031  1 B 1.82
17 S 0.7009 0.6365 0.2990  1 B 1.82
18 S 0.7991 0.1365 0.7990  1 B 1.82
19 S 0.8242 0.1589 0.2031  1 B 1.82
20 S 0.9951 0.6046 0.9929  1 B 1.80

(6)
Material: Dy4CrSe7
Method: DFT, SCAN
State: PBEsol geometry

- Volume: 282 Å³/cell
- Density of states at the Fermi level: 2.7 states/eV/cell
- Total magnetic moment: 0.32 μB/atom
- Energy relative to the elements, uncorrected: -1.826 eV/atom

Lattice parameters (Å, degrees): 6.6652 6.6652 11.7996 105.31 105.31 34.06
Last column: nearest neighbours and their distance in Å.
Sites, in units of the cell vectors:
1 Dy 0.0000 0.0000 0.0000  6 Se 2.82-2.97
2 Dy 0.3876 0.3876 0.5879  7 Se 2.82-3.05
3 Dy 0.5671 0.5671 0.3425  6 Se 2.75-2.87
4 Dy 0.6955 0.6955 0.7857  6 Se 2.77-2.81
5 Cr 0.7980 0.7980 0.2048  6 Se 2.49-2.65
6 Se 0.0325 0.0325 0.7298  4 Dy 2.79-2.88
7 Se 0.1763 0.1763 0.2499  2 Cr 2.64, 2 Dy 2.79
8 Se 0.3603 0.3603 0.8364  5 Dy 2.81-3.05
9 Se 0.4048 0.4048 0.1332  2 Cr 2.65, 1 Dy 2.75
10 Se 0.6615 0.6615 0.0077  1 Cr 2.49, 1 Dy 2.77
11 Se 0.7227 0.7227 0.5611  4 Dy 2.77-2.82
12 Se 0.9340 0.9340 0.4153  1 Cr 2.61, 2 Dy 2.87

(7)
Material: NbHgBi2Pd
Method: DFT, SCAN
State: PBEsol geometry

- Formation energy from the elements: 660 meV per atom
- Volume: 143 Å³/cell
- Density of states at the Fermi level: 3.7 states/eV/cell
- Total magnetic moment: 0.10 μB/atom

Lattice parameters (Å, degrees): 5.4253 5.4253 4.8617 90.00 90.00 90.00
Last column: nearest neighbours and their distance in Å.
Sites, in units of the cell vectors:
1 Nb 0.0000 0.0000 0.0000  2 Pd 2.43, 4 Bi 2.71
2 Hg 0.5000 0.5000 0.5000  8 Bi 3.64, 4 Pd 3.84
3 Bi 0.0000 0.5000 0.0000  2 Nb 2.71
4 Bi 0.5000 0.0000 0.0000  2 Nb 2.71
5 Pd 0.0000 0.0000 0.5000  2 Nb 2.43

(8)
Material: Ba2FeW
Method: DFT, SCAN
State: PBEsol geometry

- Formation energy from the elements: 813 meV per atom
- Volume: 109 Å³/cell
- Density of states at the Fermi level: 2.7 states/eV/cell
- ΔE to the lowest computed polymorph: 0.000 eV per atom
- Total magnetic moment: 0.39 μB/atom

Lattice parameters (Å, degrees): 3.3385 3.3385 9.8117 90.00 90.00 90.00
Last column: nearest neighbours and their distance in Å.
Sites, in units of the cell vectors:
1 Ba 0.0000 0.0000 0.0000  1 Fe 3.23, 4 Ba 3.34, 4 W 3.58
2 Ba 0.5000 0.5000 0.4057  1 W 3.14, 4 Ba 3.34, 4 Fe 3.52
3 Fe 0.0000 0.0000 0.6712  4 W 2.42
4 W 0.5000 0.5000 0.7260  4 Fe 2.42

(9)
Material: LaCu4Pt
Method: DFT, SCAN
State: PBEsol geometry

- Formation energy from the elements: -326 meV per atom
- Volume: 89 Å³/cell
- Density of states at the Fermi level: 3.3 states/eV/cell
- Total magnetic moment: 0.00 μB/atom

Lattice parameters (Å, degrees): 5.0135 5.0135 5.0135 60.00 60.00 60.00
Last column: nearest neighbours and their distance in Å.
Sites, in units of the cell vectors:
1 La 0.0000 0.0000 0.0000  12 Cu 2.94, 4 Pt 3.07
2 Cu 0.3765 0.3765 0.3765  6 Cu 2.48-2.54
3 Cu 0.3765 0.3765 0.8704  6 Cu 2.48-2.54
4 Cu 0.3765 0.8704 0.3765  6 Cu 2.48-2.54
5 Cu 0.8704 0.3765 0.3765  6 Cu 2.48-2.54
6 Pt 0.7500 0.7500 0.7500  12 Cu 2.94, 4 La 3.07

(10)
Material: Te2PPtI
Method: DFT, SCAN
State: PBEsol geometry

- Volume: 133 Å³/cell
- Density of states at the Fermi level: 6.7 states/eV/cell
- Total magnetic moment: 0.00 μB/atom
- Energy relative to the elements, uncorrected: 1.131 eV/atom

Lattice parameters (Å, degrees): 5.0881 5.0881 5.1278 90.00 90.00 90.00
Last column: nearest neighbours and their distance in Å.
Sites, in units of the cell vectors:
1 Te 0.0000 0.5000 0.0000  2 P 2.54
2 Te 0.5000 0.0000 0.0000  2 P 2.54
3 P 0.0000 0.0000 0.0000  4 Te 2.54, 2 I 2.56
4 Pt 0.5000 0.5000 0.5000  4 I 3.60, 8 Te 3.61
5 I 0.0000 0.0000 0.5000  2 P 2.56

(11)
Material: ErZrRu2
Method: DFT, SCAN
State: PBEsol geometry

- Formation energy from the elements: -691 meV per atom
- Volume: 70 Å³/cell
- Density of states at the Fermi level: 1.3 states/eV/cell
- Total magnetic moment: 0.00 μB/atom

Lattice parameters (Å, degrees): 4.6199 4.6199 4.6199 60.00 60.00 60.00
Last column: nearest neighbours and their distance in Å.
Sites, in units of the cell vectors:
1 Er 0.0000 0.0000 0.0000  8 Ru 2.83
2 Zr 0.5000 0.5000 0.5000  8 Ru 2.83
3 Ru 0.2500 0.2500 0.2500  4 Zr 2.83, 4 Er 2.83
4 Ru 0.7500 0.7500 0.7500  4 Zr 2.83, 4 Er 2.83

(12)
Material: CdIn2Sb
Method: DFT, SCAN
State: PBEsol geometry

- Volume: 100 Å³/cell
- Density of states at the Fermi level: 1.9 states/eV/cell
- ΔE to the lowest computed polymorph: 0.000 eV per atom
- Total magnetic moment: 0.00 μB/atom
- Energy relative to the elements, uncorrected: 0.101 eV/atom

Lattice parameters (Å, degrees): 3.1559 4.9334 6.4925 90.00 96.97 90.00
Last column: nearest neighbours and their distance in Å.
Sites, in units of the cell vectors:
1 Cd 0.0000 0.0000 0.0000  2 Cd 3.16, 2 Sb 3.25, 8 In 3.25-3.38
2 In 0.3960 0.5000 0.7588  3 In 3.12-3.16, 2 Sb 3.16, 4 Cd 3.25-3.38
3 In 0.6040 0.5000 0.2412  3 In 3.12-3.16, 2 Sb 3.16, 4 Cd 3.25-3.38
4 Sb 0.0000 0.0000 0.5000  2 Sb 3.16, 4 In 3.16, 2 Cd 3.25

(13)
Material: LiHg2Cl
Method: DFT, SCAN
State: PBEsol geometry

- Volume: 97 Å³/cell
- Density of states at the Fermi level: 0.0 states/eV/cell
- ΔE to the lowest computed polymorph: 0.013 eV per atom
- Total magnetic moment: 0.00 μB/atom
- Energy relative to the elements, uncorrected: -0.897 eV/atom

Lattice parameters (Å, degrees): 3.6555 3.6555 8.6518 101.67 101.67 59.87
Last column: nearest neighbours and their distance in Å.
Sites, in units of the cell vectors:
1 Li 0.0000 0.0000 0.0000  3 Cl 2.26
2 Hg 0.5159 0.5159 0.5736  3 Hg 3.20, 3 Cl 3.43-3.51
3 Hg 0.7582 0.7582 0.2878  3 Hg 3.20, 3 Li 3.21
4 Cl 0.3021 0.3021 0.9033  3 Li 2.26

(14)
Material: Ni2HgAs
Method: DFT, SCAN
State: PBEsol geometry

- Formation energy from the elements: 447 meV per atom
- Volume: 58 Å³/cell
- Density of states at the Fermi level: 1.3 states/eV/cell
- Total magnetic moment: 0.00 μB/atom

Lattice parameters (Å, degrees): 4.3504 4.3504 4.3504 60.00 60.00 60.00
Last column: nearest neighbours and their distance in Å.
Sites, in units of the cell vectors:
1 Ni 0.0000 0.0000 0.0000  4 Hg 2.66, 4 Ni 2.66
2 Ni 0.2500 0.2500 0.2500  4 As 2.66, 4 Ni 2.66
3 Hg 0.7500 0.7500 0.7500  4 As 2.66, 4 Ni 2.66
4 As 0.5000 0.5000 0.5000  4 Hg 2.66, 4 Ni 2.66

(15)
Material: K2ZrMo
Method: DFT, SCAN
State: PBEsol geometry

- Formation energy from the elements: 1384 meV per atom
- Volume: 101 Å³/cell
- Density of states at the Fermi level: 4.9 states/eV/cell
- ΔE to the lowest computed polymorph: 0.641 eV per atom
- Total magnetic moment: 0.07 μB/atom

Lattice parameters (Å, degrees): 2.8125 2.8125 12.8309 90.00 90.00 90.00
Last column: nearest neighbours and their distance in Å.
Sites, in units of the cell vectors:
1 K 0.0000 0.0000 0.2261  4 K 2.81
2 K 0.0000 0.0000 0.7739  4 K 2.81
3 Zr 0.5000 0.5000 0.5000  4 Zr 2.81
4 Mo 0.5000 0.5000 0.0000  4 Mo 2.81

(16)
Material: FeAs2RhI
Method: DFT, SCAN
State: PBEsol geometry

- Volume: 122 Å³/cell
- Density of states at the Fermi level: 4.0 states/eV/cell
- Total magnetic moment: 0.43 μB/atom
- Energy relative to the elements, uncorrected: 1.913 eV/atom

Lattice parameters (Å, degrees): 5.2217 5.2217 4.4830 90.00 90.00 90.00
Last column: nearest neighbours and their distance in Å.
Sites, in units of the cell vectors:
1 Fe 0.0000 0.0000 0.0000  2 I 2.24
2 As 0.0000 0.5000 0.5000  2 I 2.61
3 As 0.5000 0.0000 0.5000  2 I 2.61
4 Rh 0.5000 0.5000 0.0000  8 As 3.44, 4 Fe 3.69
5 I 0.0000 0.0000 0.5000  2 Fe 2.24

(17)
Material: MgIr2Au
Method: DFT, SCAN
State: PBEsol geometry

- Formation energy from the elements: -8 meV per atom
- Volume: 60 Å³/cell
- Density of states at the Fermi level: 3.1 states/eV/cell
- Total magnetic moment: 0.00 μB/atom

Lattice parameters (Å, degrees): 4.7324 4.7324 2.8339 90.00 90.00 108.32
Last column: nearest neighbours and their distance in Å.
Sites, in units of the cell vectors:
1 Mg 0.0000 0.0000 0.0000  8 Ir 2.76, 2 Au 2.77, 2 Mg 2.83
2 Ir 0.0000 0.5000 0.5000  4 Mg 2.76, 4 Au 2.76, 4 Ir 2.77-2.83
3 Ir 0.5000 0.0000 0.5000  4 Mg 2.76, 4 Au 2.76, 4 Ir 2.77-2.83
4 Au 0.5000 0.5000 0.0000  8 Ir 2.76, 2 Mg 2.77, 2 Au 2.83

(18)
Material: HfOsS2
Method: DFT, SCAN
State: PBEsol geometry

- Volume: 57 Å³/cell
- Density of states at the Fermi level: 3.2 states/eV/cell
- Total magnetic moment: 0.00 μB/atom
- Energy relative to the elements, uncorrected: -0.182 eV/atom

Lattice parameters (Å, degrees): 4.3296 4.3296 4.3296 60.00 60.00 60.00
Last column: nearest neighbours and their distance in Å.
Sites, in units of the cell vectors:
1 Hf 0.0000 0.0000 0.0000  8 S 2.65
2 Os 0.5000 0.5000 0.5000  8 S 2.65
3 S 0.2500 0.2500 0.2500  4 Hf 2.65, 4 Os 2.65
4 S 0.7500 0.7500 0.7500  4 Hf 2.65, 4 Os 2.65

(19)
Material: Sc2Se
Method: DFT, SCAN
State: PBEsol geometry

- Volume: 236 Å³/cell
- Density of states at the Fermi level: 9.1 states/eV/cell
- Total magnetic moment: 0.00 μB/atom
- Energy relative to the elements, uncorrected: -1.125 eV/atom

Lattice parameters (Å, degrees): 7.1811 3.5201 9.3483 90.00 90.00 90.00
Last column: nearest neighbours and their distance in Å.
Sites, in units of the cell vectors:
1 Sc 0.0119 0.2500 0.1749  4 Se 2.72-2.76
2 Sc 0.1654 0.7500 0.4458  4 Se 2.73-2.79
3 Sc 0.3346 0.2500 0.9458  4 Se 2.73-2.79
4 Sc 0.4881 0.7500 0.6749  4 Se 2.72-2.76
5 Sc 0.5119 0.2500 0.3251  4 Se 2.72-2.76
6 Sc 0.6654 0.7500 0.0542  4 Se 2.73-2.79
7 Sc 0.8346 0.2500 0.5542  4 Se 2.73-2.79
8 Sc 0.9881 0.7500 0.8251  4 Se 2.72-2.76
9 Se 0.1915 0.2500 0.6681  8 Sc 2.72-2.79
10 Se 0.3085 0.7500 0.1681  8 Sc 2.72-2.79
11 Se 0.6915 0.2500 0.8319  8 Sc 2.72-2.79
12 Se 0.8085 0.7500 0.3319  8 Sc 2.72-2.79

(20)
Material: Li4Mn3Ni3W2O16
Method: DFT, SCAN
State: PBEsol geometry

- Volume: 278 Å³/cell
- Total magnetic moment: 0.61 μB/atom
- Energy relative to the elements, uncorrected: -2.067 eV/atom

Lattice parameters (Å, degrees): 5.8309 5.8309 9.5414 91.07 91.07 59.09
Last column: nearest neighbours and their distance in Å.
Sites, in units of the cell vectors:
1 Li 0.0000 0.0000 0.0000  4 O 1.82-1.97
2 Li 0.0141 0.0141 0.4941  4 O 1.79-1.98
3 Li 0.3494 0.3494 0.4079  4 O 1.94-1.98
4 Li 0.6669 0.6669 0.9151  4 O 1.93-1.95
5 Mn 0.1736 0.6680 0.7220  4 O 1.88-2.00
6 Mn 0.6680 0.1736 0.7220  4 O 1.88-2.00
7 Mn 0.8342 0.8342 0.2227  6 O 1.86-2.03
8 Ni 0.1811 0.1811 0.7203  6 O 1.98-2.03
9 Ni 0.3468 0.8396 0.2198  6 O 1.92-2.14
10 Ni 0.8396 0.3468 0.2198  6 O 1.92-2.14
11 W 0.3256 0.3256 0.9987  5 O 1.84-1.94
12 W 0.6749 0.6749 0.4912  6 O 1.85-2.06
13 O 0.0019 0.0019 0.3066  1 Li 1.79, 1 Mn 1.86, 2 Ni 1.92
14 O 0.0071 0.0071 0.8100  1 Li 1.82, 2 Mn 1.89, 1 Ni 1.98
15 O 0.0377 0.4864 0.8607  1 Li 1.93, 1 W 1.94, 1 Ni 2.02, 1 Mn 2.11
16 O 0.1637 0.6602 0.0999  1 W 1.92, 1 Li 1.96, 1 Mn 2.03, 1 Ni 2.14
17 O 0.1722 0.1722 0.0983  1 W 1.84, 1 Li 1.97, 2 Ni 2.04
18 O 0.3498 0.3498 0.6151  2 Mn 1.88, 1 Li 1.98, 1 Ni 2.00
19 O 0.3616 0.8558 0.5909  1 W 1.85, 1 Li 1.96, 1 Ni 2.03
20 O 0.4835 0.4835 0.8492  1 Li 1.95, 2 Mn 1.97, 1 W 2.17
21 O 0.4864 0.0377 0.8607  1 Li 1.93, 1 W 1.94, 1 Ni 2.02, 1 Mn 2.11
22 O 0.5338 0.5338 0.3558  1 W 1.91, 1 Li 1.95, 2 Ni 2.02
23 O 0.5464 0.9779 0.3485  1 Mn 1.88, 1 Li 1.94, 1 W 2.06, 1 Ni 2.09
24 O 0.6602 0.1637 0.0999  1 W 1.92, 1 Li 1.96, 1 Mn 2.03, 1 Ni 2.14
25 O 0.6775 0.6775 0.1169  1 Mn 1.87, 1 Li 1.93, 2 Ni 1.93
26 O 0.8479 0.8479 0.5989  1 Li 1.98, 2 Mn 2.00, 1 W 2.01
27 O 0.8558 0.3616 0.5909  1 W 1.85, 1 Li 1.96, 1 Ni 2.03
28 O 0.9779 0.5464 0.3485  1 Mn 1.88, 1 Li 1.94, 1 W 2.06, 1 Ni 2.09